DFT (meta-GGA SCAN) results for a crystal of AgSbCl2 relaxed with PBEsol.

Values from the calculation:
Energy relative to the lowest polymorph listed for this composition: 0.338 eV/atom
Total magnetization: 0.00 Bohr magnetons per cell
V: 83.8 Å³/f.u.

Cell lengths 5.1678, 5.1678, 3.1834 Å; angles 90.00, 90.00, 99.81 degrees
Sites, in units of the cell vectors:
Ag 0.0000 0.0000 0.0000
Sb 0.5000 0.5000 0.0000
Cl 0.0000 0.5000 0.5000
Cl 0.5000 0.0000 0.5000